[1]
Compound: Te2AuCl
Source: the Alexandria database
Functional: PBE
Structure: optimized geometry

The structure in CIF format:
```
data_Te2AuCl
_chemical_formula_sum 'Te8 Au4 Cl4'
_symmetry_space_group_name_H-M 'F m -3 m'
_symmetry_Int_Tables_number 225
_symmetry_space_group_name_Hall '-F 4 2 3'
_cell_length_a 7.172
_cell_length_b 7.172
_cell_length_c 7.172
_cell_angle_alpha 90.00
_cell_angle_beta 90.00
_cell_angle_gamma 90.00
loop_
_atom_site_label
_atom_site_fract_x
_atom_site_fract_y
_atom_site_fract_z
_atom_site_occupancy
Te1 0.250 0.250 0.250 1
Au1 0.000 0.000 0.000 1
Cl1 0.000 0.000 0.500 1
```

Computed properties:
Magnetic moment   0.000 μB/f.u.
Density   8780 kg/m³
Raw total energy   -2.640 eV per atom
Formation energy (no corrections)   212 meV per atom


[2]
Compound: KYRu2
Source: the Alexandria database
Functional: PBE
Structure: optimized geometry

The structure in CIF format:
```
data_KYRu2
_chemical_formula_sum 'K2 Y2 Ru4'
_symmetry_space_group_name_H-M 'I m m m'
_symmetry_Int_Tables_number 71
_symmetry_space_group_name_Hall '-I 2 2'
_cell_length_a 3.277
_cell_length_b 5.105
_cell_length_c 9.584
_cell_angle_alpha 90.00
_cell_angle_beta 90.00
_cell_angle_gamma 90.00
loop_
_atom_site_label
_atom_site_fract_x
_atom_site_fract_y
_atom_site_fract_z
_atom_site_occupancy
K1 0.000 0.000 0.000 1
Y1 0.000 0.000 0.500 1
Ru1 0.000 0.500 0.237 1
```

Computed properties:
Magnetic moment   0.000 μB/f.u.
Density   6839 kg/m³
Energy of formation   0.9180 eV/atom
Raw total energy   -5.610 eV per atom


[3]
Compound: Fe2CuMo
Source: the Alexandria database
Functional: PBE
Structure: optimized geometry

The structure in CIF format:
```
data_Fe2CuMo
_chemical_formula_sum 'Fe8 Cu4 Mo4'
_symmetry_space_group_name_H-M 'I -4 2 d'
_symmetry_Int_Tables_number 122
_symmetry_space_group_name_Hall 'I -4 2bw'
_cell_length_a 6.561
_cell_length_b 6.561
_cell_length_c 5.088
_cell_angle_alpha 90.00
_cell_angle_beta 90.00
_cell_angle_gamma 90.00
loop_
_atom_site_label
_atom_site_fract_x
_atom_site_fract_y
_atom_site_fract_z
_atom_site_occupancy
Fe1 0.245 0.250 0.125 1
Cu1 0.000 0.000 0.500 1
Mo1 0.000 0.000 0.000 1
```

Computed properties:
Magnetic moment   2.993 μB/f.u.
Density   8224 kg/m³
Energy of formation   0.7222 eV/atom
Raw total energy   -7.241 eV per atom


[4]
Compound: MnWAu2
Source: the Alexandria database
Functional: PBE
Structure: optimized geometry

The structure in CIF format:
```
data_MnWAu2
_chemical_formula_sum 'Mn2 W2 Au4'
_symmetry_space_group_name_H-M 'C m m m'
_symmetry_Int_Tables_number 65
_symmetry_space_group_name_Hall '-C 2 2'
_cell_length_a 5.824
_cell_length_b 8.191
_cell_length_c 2.772
_cell_angle_alpha 90.00
_cell_angle_beta 90.00
_cell_angle_gamma 90.00
loop_
_atom_site_label
_atom_site_fract_x
_atom_site_fract_y
_atom_site_fract_z
_atom_site_occupancy
Mn1 0.000 0.000 0.000 1
W1 0.000 0.500 0.000 1
Au1 0.250 0.250 0.500 1
```

Computed properties:
Magnetic moment   3.442 μB/f.u.
Density   15891 kg/m³
Energy of formation   0.3411 eV/atom
Raw total energy   -6.828 eV per atom